Record 1
The following is a DFT calculation (PBE) of LaSnPbSe2 after structural relaxation.

Results
**Formation energy from raw total energies**: -0.08 eV/atom
**Raw total energy**: -20.02 eV per cell
**Space-group type**: P4/mmm (123)

a b c (Å): 5.634 5.634 6.269
angles (deg): 90.00 90.00 90.00
Atoms (fractional coordinates):
La1 0.000 0.000 0.000
Sn1 0.500 0.500 0.500
Pb1 0.000 0.000 0.500
Se1 0.000 0.500 0.000
Se2 0.500 0.000 0.000

***

Record 2
The following is a DFT calculation (PBE) of Pa5Ni2As5 after structural relaxation.

Results
**Raw total energy**: -90.18 eV per cell
**Formation energy**: -0.657 eV per atom
**Space-group type**: C2/m (12)

a b c (Å): 6.926 6.926 9.866
angles (deg): 104.23 104.23 33.54
Atoms (fractional coordinates):
Pa1 0.000 0.000 0.000
Pa2 0.160 0.160 0.597
Pa3 0.267 0.267 0.867
Pa4 0.733 0.733 0.133
Pa5 0.840 0.840 0.403
Ni1 0.432 0.432 0.705
Ni2 0.568 0.568 0.295
As1 0.162 0.162 0.301
As2 0.399 0.399 0.148
As3 0.500 0.500 0.500
As4 0.601 0.601 0.852
As5 0.838 0.838 0.699

***

Record 3
The following is a DFT calculation (PBE) of Tb4Dy2ThMg after structural relaxation.

Results
**Raw total energy**: -35.84 eV per cell
**Formation energy**: 0.113 eV per atom
**Space-group type**: P4/mmm (123)

a b c (Å): 5.839 5.839 7.278
angles (deg): 90.00 90.00 90.00
Atoms (fractional coordinates):
Tb1 0.000 0.500 0.242
Tb2 0.000 0.500 0.758
Tb3 0.500 0.000 0.242
Tb4 0.500 0.000 0.758
Dy1 0.000 0.000 0.500
Dy2 0.500 0.500 0.500
Th1 0.000 0.000 0.000
Mg1 0.500 0.500 0.000

***

Record 4
The following is a DFT calculation (PBE) of Sc3PHC after structural relaxation.

Results
**Raw total energy**: -84.43 eV per cell
**Space-group type**: P2_1/m (11)

a b c (Å): 7.181 3.445 7.374
angles (deg): 90.00 103.06 90.00
Atoms (fractional coordinates):
Sc1 0.055 0.250 0.341
Sc2 0.291 0.250 0.973
Sc3 0.376 0.750 0.636
Sc4 0.624 0.250 0.364
Sc5 0.709 0.750 0.027
Sc6 0.945 0.750 0.659
P1 0.323 0.750 0.267
P2 0.677 0.250 0.733
H1 0.419 0.750 0.916
H2 0.581 0.250 0.084
C1 0.166 0.250 0.662
C2 0.834 0.750 0.338

***

Record 5
The following is a DFT calculation (PBE) of Be2VPt after structural relaxation.

Results
**Raw total energy**: -43.25 eV per cell
**ΔE to the lowest computed polymorph**: 654 meV/atom
**Formation energy**: 0.246 eV per atom
**Space-group type**: I-42d (122)

a b c (Å): 8.647 8.647 8.647
angles (deg): 156.15 156.15 33.99
Atoms (fractional coordinates):
Be1 0.107 0.625 0.982
Be2 0.375 0.357 0.482
Be3 0.643 0.125 0.018
Be4 0.875 0.893 0.518
V1 0.250 0.750 0.500
V2 0.500 0.500 0.000
Pt1 0.000 0.000 0.000
Pt2 0.750 0.250 0.500

***

Record 6
The following is a DFT calculation (PBE) of KHfTa2Ni after structural relaxation.

Results
**Raw total energy**: -28.79 eV per cell
**Formation energy**: 2.349 eV per atom
**Space-group type**: P4/mmm (123)

a b c (Å): 4.755 4.755 4.364
angles (deg): 90.00 90.00 90.00
Atoms (fractional coordinates):
K1 0.000 0.000 0.000
Hf1 0.500 0.500 0.500
Ta1 0.000 0.500 0.000
Ta2 0.500 0.000 0.000
Ni1 0.000 0.000 0.500